(1)
Tb6PmTl4 (PBE, relaxed); spin magnetization = 0.00 μB per cell; density of states at the Fermi level = 1.2486 states/eV/atom; density = 8.82 g cm⁻³; raw total energy = -42.46 eV for the cell shown; DFT formation energy = -0.042 eV per atom
1.0
-3.9206 3.9206 5.8694
3.9206 -3.9206 5.8694
3.9206 3.9206 -5.8694
Tb Pm Tl
6 1 4
direct
0.0000 0.5000 0.5000
0.0276 0.0276 0.6300
0.3975 0.3975 0.3700
0.5000 0.0000 0.5000
0.6025 0.9724 0.0000
0.9724 0.6025 0.0000
0.5000 0.5000 0.0000
0.1025 0.1025 0.3462
0.2436 0.8975 0.0000
0.7564 0.7564 0.6538
0.8975 0.2436 0.0000

---

(2)
Tb7Pm2Tl2 (PBE, relaxed); spin magnetization = 0.00 μB per cell; density of states at the Fermi level = 1.1759 states/eV/atom; density = 8.73 g cm⁻³; raw total energy = -47.53 eV for the cell shown; DFT formation energy = -0.081 eV per atom
1.0
4.2975 -4.9241 0.0000
4.2975 4.9241 0.0000
-2.8072 0.0000 8.1382
Tb Pm Tl
7 2 2
direct
0.0000 0.0000 0.0000
0.1191 0.4777 0.8263
0.1365 0.1365 0.4133
0.4777 0.1191 0.8263
0.5223 0.8809 0.1737
0.8635 0.8635 0.5867
0.8809 0.5223 0.1737
0.3192 0.6808 0.5000
0.6808 0.3192 0.5000
0.3762 0.3762 0.1658
0.6238 0.6238 0.8342

---

(3)
Tb3PmTl2 (PBE, relaxed); spin magnetization = 0.00 μB per cell; density of states at the Fermi level = 1.0514 states/eV/atom; density = 9.61 g cm⁻³; ΔE to the lowest computed polymorph = 0 meV per atom; raw total energy = -50.02 eV for the cell shown; DFT formation energy = -0.272 eV per atom
1.0
5.1467 0.0000 0.0000
0.0000 10.0997 0.0000
0.0000 0.0000 6.8498
Tb Pm Tl
6 2 4
direct
0.0000 0.0435 0.0000
0.0000 0.3104 0.3715
0.0000 0.6896 0.8715
0.0000 0.9565 0.5000
0.5000 0.1835 0.7189
0.5000 0.8165 0.2189
0.5000 0.4573 0.0947
0.5000 0.5427 0.5947
0.0000 0.3637 0.8346
0.0000 0.6363 0.3346
0.5000 0.1330 0.2550
0.5000 0.8670 0.7550

---

(4)
Tb8Pm3Tl (PBE, relaxed); spin magnetization = 0.00 μB per cell; density of states at the Fermi level = 1.4295 states/eV/atom; density = 7.68 g cm⁻³; raw total energy = -51.21 eV for the cell shown; DFT formation energy = 0.204 eV per atom
1.0
-3.2712 5.5364 5.7006
3.2712 -5.5364 5.7006
3.2712 5.5364 -5.7006
Tb Pm Tl
8 3 1
direct
0.0788 0.2449 0.8338
0.2419 0.2516 0.4936
0.2419 0.7484 0.9903
0.4111 0.2449 0.1662
0.5889 0.7551 0.8338
0.7581 0.2516 0.0097
0.7581 0.7484 0.5064
0.9212 0.7551 0.1662
0.2541 0.7541 0.5000
0.5000 0.5000 0.0000
0.7459 0.2459 0.5000
0.0000 0.0000 0.0000

---

The highest density belongs to which entry?
Tb3PmTl2

---

Look up the spin magnetization of the second one.
0.00 μB per cell